# 1
Below is BiIBrF2 after structural relaxation, with properties calculated at the PBE-GGA level.

Unit cell a=4.580 b=4.580 c=6.296 alpha=90.00 beta=90.00 gamma=90.00
Fractional coordinates of all 5 atoms:
1 Bi 0.000 0.000 0.000
2 I 0.000 0.000 0.500
3 Br 0.500 0.500 0.000
4 F 0.000 0.500 0.500
5 F 0.500 0.000 0.500

Summary:
- N(E_F): 3.5 states/eV/cell
- Formation energy without anion corrections: -601.4 meV/atom
- Total magnetization: 0.00 Bohr magnetons per cell
- Space-group type: P4/mmm (123)

# 2
Below is InBiBr2F after structural relaxation, with properties calculated at the PBE-GGA level.

Unit cell a=5.790 b=5.790 c=4.178 alpha=90.00 beta=90.00 gamma=90.00
Fractional coordinates of all 5 atoms:
1 In 0.000 0.000 0.000
2 Bi 0.500 0.500 0.000
3 Br 0.000 0.500 0.500
4 Br 0.500 0.000 0.500
5 F 0.000 0.000 0.500

Summary:
- N(E_F): 5.9 states/eV/cell
- Formation energy without anion corrections: -384.9 meV/atom
- Total magnetization: 0.00 Bohr magnetons per cell
- Relative energy among the computed polymorphs: 0 meV/atom
- Space-group type: P4/mmm (123)